# 1
## AcY2Pu (GGA-PBE)

Data for a relaxed AcY2Pu crystal.

abc: 5.115 5.115 5.193
angles: 90.00 90.00 90.00
Space group P4/mmm (No. 123)
Asymmetric unit:
Ac 0.000 0.000 0.000 [1 per cell]
Y 0.000 0.500 0.500 [2 per cell]
Pu 0.500 0.500 0.000 [1 per cell]

Computed properties:
The volume comes out at 135.9 Å³/cell. The formation energy comes out at 195 meV per atom. For the energy above the most stable polymorph in this dataset, the calculation gives 4.5 kJ per mole of atoms.

---

# 2
## AcY2Pu (GGA-PBE)

Data for a relaxed AcY2Pu crystal.

abc: 3.6632 3.6632 35.3196
angles: 90.00 90.00 120.00
Space group R3m (No. 160, hexagonal axes)
Asymmetric unit:
Ac 0.0000 0.0000 0.0000 [3 per cell]
Y 0.0000 0.0000 0.5777 [3 per cell]
Y 0.0000 0.0000 0.7544 [3 per cell]
Pu 0.0000 0.0000 0.1657 [3 per cell]

Computed properties:
The volume comes out at 410.5 Å³/cell. The formation energy comes out at 162 meV per atom. For the energy above the most stable polymorph in this dataset, the calculation gives 1.2 kJ per mole of atoms.

---

# 3
## AcYPu (GGA-PBE)

Data for a relaxed AcYPu crystal.

abc: 5.8871 5.8871 3.4695
angles: 90.00 90.00 120.00
Space group P-6m2 (No. 187)
Asymmetric unit:
Ac 0.0000 0.0000 0.0000 [1 per cell]
Y 0.6667 0.3333 0.0000 [1 per cell]
Pu 0.3333 0.6667 0.5000 [1 per cell]

Computed properties:
The volume comes out at 104.1 Å³/cell. The formation energy comes out at 319 meV per atom. For the energy above the most stable polymorph in this dataset, the calculation gives 13.4 kJ per mole of atoms.

---

# 4
## AcPu2Zn6 (GGA-PBE)

Data for a relaxed AcPu2Zn6 crystal.

abc: 8.1679 8.1679 3.3507
angles: 90.00 90.00 120.00
Space group P6/mmm (No. 191)
Asymmetric unit:
Ac 0.0000 0.0000 0.0000 [1 per cell]
Pu 0.3333 0.6667 0.0000 [2 per cell]
Zn 0.0000 0.3415 0.5000 [6 per cell]

Computed properties:
The volume comes out at 193.6 Å³/cell. The formation energy comes out at -155 meV per atom.

---

# 5
## AcPu2Zn9 (GGA-PBE)

Data for a relaxed AcPu2Zn9 crystal.

abc: 5.5058 5.5058 26.5408
angles: 90.00 90.00 120.00
Space group R-3m (No. 166, hexagonal axes)
Asymmetric unit:
Ac 0.0000 0.0000 0.0000 [3 per cell]
Pu 0.0000 0.0000 0.1490 [6 per cell]
Zn 0.0000 0.0000 0.3356 [6 per cell]
Zn 0.0000 0.0000 0.5000 [3 per cell]
Zn 0.0031 0.5016 0.9169 [18 per cell]

Computed properties:
The volume comes out at 696.8 Å³/cell. The formation energy comes out at -198 meV per atom.

---

# 6
## Ac2PuZn (GGA-PBE)

Data for a relaxed Ac2PuZn crystal.

abc: 5.805 5.805 3.829
angles: 90.00 90.00 90.00
Space group P4/mmm (No. 123)
Asymmetric unit:
Ac 0.000 0.500 0.000 [2 per cell]
Pu 0.000 0.000 0.500 [1 per cell]
Zn 0.500 0.500 0.500 [1 per cell]

Computed properties:
The volume comes out at 129.0 Å³/cell. The formation energy comes out at 77 meV per atom. For the energy above the most stable polymorph in this dataset, the calculation gives 5.0 kJ per mole of atoms.

---

# 7
## Ac2PuZn (GGA-PBE)

Data for a relaxed Ac2PuZn crystal.

abc: 3.7233 3.7233 35.9841
angles: 90.00 90.00 120.00
Space group R-3m (No. 166, hexagonal axes)
Asymmetric unit:
Ac 0.0000 0.0000 0.0987 [6 per cell]
Pu 0.0000 0.0000 0.0000 [3 per cell]
Zn 0.0000 0.0000 0.5000 [3 per cell]

Computed properties:
The volume comes out at 432.0 Å³/cell. The formation energy comes out at 344 meV per atom. For the energy above the most stable polymorph in this dataset, the calculation gives 30.8 kJ per mole of atoms.

---

# 8
## Ac2PuZn (GGA-PBE)

Data for a relaxed Ac2PuZn crystal.

abc: 3.851 3.851 9.053
angles: 90.00 90.00 90.00
Space group P4/mmm (No. 123)
Asymmetric unit:
Ac 0.000 0.000 0.217 [2 per cell]
Pu 0.500 0.500 0.500 [1 per cell]
Zn 0.500 0.500 0.000 [1 per cell]

Computed properties:
The volume comes out at 134.2 Å³/cell. The formation energy comes out at 25 meV per atom. For the energy above the most stable polymorph in this dataset, the calculation gives 0.0 kJ per mole of atoms.

---

# 9
## AcPuZn10 (GGA-PBE)

Data for a relaxed AcPuZn10 crystal.

abc: 4.287 5.462 9.484
angles: 90.00 90.00 90.00
Space group Pmmm (No. 47)
Asymmetric unit:
Ac 0.000 0.000 0.000 [1 per cell]
Pu 0.000 0.500 0.500 [1 per cell]
Zn 0.000 0.000 0.343 [2 per cell]
Zn 0.000 0.500 0.178 [2 per cell]
Zn 0.500 0.000 0.500 [1 per cell]
Zn 0.500 0.256 0.260 [4 per cell]
Zn 0.500 0.500 0.000 [1 per cell]

Computed properties:
The volume comes out at 222.1 Å³/cell. The formation energy comes out at -192 meV per atom.

---

# 10
## AcPuZr2 (GGA-PBE)

Data for a relaxed AcPuZr2 crystal.

abc: 3.3581 3.3581 34.9065
angles: 90.00 90.00 120.00
Space group R-3m (No. 166, hexagonal axes)
Asymmetric unit:
Ac 0.0000 0.0000 0.0000 [3 per cell]
Pu 0.0000 0.0000 0.5000 [3 per cell]
Zr 0.0000 0.0000 0.0949 [6 per cell]

Computed properties:
The volume comes out at 340.9 Å³/cell. The formation energy comes out at 425 meV per atom. For the energy above the most stable polymorph in this dataset, the calculation gives 17.1 kJ per mole of atoms.

---

# 11
## AcPuZr2 (GGA-PBE)

Data for a relaxed AcPuZr2 crystal.

abc: 3.869 3.869 7.600
angles: 90.00 90.00 90.00
Space group P4/mmm (No. 123)
Asymmetric unit:
Ac 0.000 0.000 0.000 [1 per cell]
Pu 0.000 0.000 0.500 [1 per cell]
Zr 0.500 0.500 0.303 [2 per cell]

Computed properties:
The volume comes out at 113.8 Å³/cell. The formation energy comes out at 248 meV per atom. For the energy above the most stable polymorph in this dataset, the calculation gives 0.0 kJ per mole of atoms.

---

# 12
## Rb3Ac (GGA-PBE)

Data for a relaxed Rb3Ac crystal.

abc: 6.289 6.289 14.244
angles: 90.00 90.00 90.00
Space group I4/mmm (No. 139)
Asymmetric unit:
Rb 0.000 0.000 0.000 [2 per cell]
Rb 0.000 0.500 0.250 [4 per cell]
Ac 0.000 0.000 0.500 [2 per cell]

Computed properties:
The volume comes out at 563.4 Å³/cell. The formation energy comes out at 467 meV per atom.

---

# 13
## Rb3Ac (GGA-PBE)

Data for a relaxed Rb3Ac crystal.

abc: 9.2546 9.2546 7.6633
angles: 90.00 90.00 120.00
Space group P6_3/mmc (No. 194)
Asymmetric unit:
Rb 0.1706 0.3412 0.2500 [6 per cell]
Ac 0.3333 0.6667 0.7500 [2 per cell]

Computed properties:
The volume comes out at 568.4 Å³/cell. The formation energy comes out at 469 meV per atom.

---

# 14
## Rb4Ac (GGA-PBE)

Data for a relaxed Rb4Ac crystal.

abc: 7.976 7.976 7.976
angles: 90.00 90.00 90.00
Space group Pm-3m (No. 221)
Asymmetric unit:
Rb 0.000 0.000 0.000 [1 per cell]
Rb 0.000 0.500 0.500 [3 per cell]
Ac 0.500 0.500 0.500 [1 per cell]

Computed properties:
The volume comes out at 507.5 Å³/cell. The formation energy comes out at 652 meV per atom.

---

# 15
## RbAc2 (GGA-PBE)

Data for a relaxed RbAc2 crystal.

abc: 11.147 11.147 11.147
angles: 90.00 90.00 90.00
Space group Fd-3m (No. 227, origin choice 2)
Asymmetric unit:
Rb 0.125 0.125 0.125 [8 per cell]
Ac 0.000 0.000 0.500 [16 per cell]

Computed properties:
The volume comes out at 1384.9 Å³/cell. The formation energy comes out at 447 meV per atom.

---

# 16
## RbAc2Rh (GGA-PBE)

Data for a relaxed RbAc2Rh crystal.

abc: 7.653 4.416 11.071
angles: 90.00 90.19 90.00
Space group C2/m (No. 12)
Asymmetric unit:
Rb 0.000 0.000 0.000 [2 per cell]
Ac 0.167 0.500 0.640 [4 per cell]
Rh 0.000 0.000 0.500 [2 per cell]

Computed properties:
The volume comes out at 374.2 Å³/cell. The formation energy comes out at -378 meV per atom. For the energy above the most stable polymorph in this dataset, the calculation gives 0.0 kJ per mole of atoms.

---

# 17
## RbAc2Rh (GGA-PBE)

Data for a relaxed RbAc2Rh crystal.

abc: 4.3883 4.3883 36.0557
angles: 90.00 90.00 120.00
Space group R-3m (No. 166, hexagonal axes)
Asymmetric unit:
Rb 0.0000 0.0000 0.0000 [3 per cell]
Ac 0.0000 0.0000 0.1233 [6 per cell]
Rh 0.0000 0.0000 0.5000 [3 per cell]

Computed properties:
The volume comes out at 601.3 Å³/cell. The formation energy comes out at -337 meV per atom. For the energy above the most stable polymorph in this dataset, the calculation gives 4.0 kJ per mole of atoms.

---

# 18
## RbAc3Rh (GGA-PBE)

Data for a relaxed RbAc3Rh crystal.

abc: 6.047 6.047 6.047
angles: 90.00 90.00 90.00
Space group Pm-3m (No. 221)
Asymmetric unit:
Rb 0.000 0.000 0.000 [1 per cell]
Ac 0.000 0.500 0.500 [3 per cell]
Rh 0.500 0.500 0.500 [1 per cell]

Computed properties:
The volume comes out at 221.2 Å³/cell. The formation energy comes out at -149 meV per atom.

---

# 19
## RbAc2Rh (GGA-PBE)

Data for a relaxed RbAc2Rh crystal.

abc: 3.825 3.825 11.449
angles: 90.00 90.00 90.00
Space group P4/mmm (No. 123)
Asymmetric unit:
Rb 0.000 0.000 0.000 [1 per cell]
Ac 0.500 0.500 0.349 [2 per cell]
Rh 0.000 0.000 0.500 [1 per cell]

Computed properties:
The volume comes out at 167.5 Å³/cell. The formation energy comes out at -167 meV per atom. For the energy above the most stable polymorph in this dataset, the calculation gives 20.4 kJ per mole of atoms.

---

# 20
## RbAcRh (GGA-PBE)

Data for a relaxed RbAcRh crystal.

abc: 7.296 4.243 16.454
angles: 90.00 99.08 90.00
Space group C2/m (No. 12)
Asymmetric unit:
Rb 0.203 0.000 0.142 [4 per cell]
Ac 0.211 0.500 0.613 [4 per cell]
Rh 0.078 0.000 0.701 [4 per cell]

Computed properties:
The volume comes out at 503.0 Å³/cell. The formation energy comes out at -8 meV per atom.

---

# 21
## RbAc3Ru (GGA-PBE)

Data for a relaxed RbAc3Ru crystal.

abc: 5.968 5.968 5.968
angles: 90.00 90.00 90.00
Space group Pm-3m (No. 221)
Asymmetric unit:
Rb 0.000 0.000 0.000 [1 per cell]
Ac 0.000 0.500 0.500 [3 per cell]
Ru 0.500 0.500 0.500 [1 per cell]

Computed properties:
The volume comes out at 212.6 Å³/cell. The formation energy comes out at 20 meV per atom.

---

# 22
## RbAcS2 (GGA-PBE)

Data for a relaxed RbAcS2 crystal.

abc: 4.4638 4.4638 23.2125
angles: 90.00 90.00 120.00
Space group R-3m (No. 166, hexagonal axes)
Asymmetric unit:
Rb 0.0000 0.0000 0.0000 [3 per cell]
Ac 0.0000 0.0000 0.5000 [3 per cell]
S 0.0000 0.0000 0.2343 [6 per cell]

Computed properties:
The volume comes out at 400.6 Å³/cell. The value obtained for the uncorrected formation energy is -43.297 kcal/mol of atoms.

---

# 23
## RbAc4S6 (GGA-PBE)

Data for a relaxed RbAc4S6 crystal.

abc: 9.1110 9.1110 4.4374
angles: 90.00 90.00 120.00
Space group P-6m2 (No. 187)
Asymmetric unit:
Rb 0.0000 0.0000 0.0000 [1 per cell]
Ac 0.3333 0.6667 0.0000 [1 per cell]
Ac 0.3951 0.1975 0.5000 [3 per cell]
S 0.1722 0.3444 0.5000 [3 per cell]
S 0.5338 0.0676 0.0000 [3 per cell]

Computed properties:
The volume comes out at 319.0 Å³/cell. The value obtained for the uncorrected formation energy is -40.138 kcal/mol of atoms.

---

# 24
## RbAcS (GGA-PBE)

Data for a relaxed RbAcS crystal.

abc: 4.258 15.558 7.821
angles: 90.00 90.00 90.00
Space group Cmcm (No. 63)
Asymmetric unit:
Rb 0.000 0.244 0.250 [4 per cell]
Ac 0.000 0.500 0.000 [4 per cell]
S 0.000 0.056 0.750 [4 per cell]

Computed properties:
The volume comes out at 518.1 Å³/cell. The value obtained for the uncorrected formation energy is -23.675 kcal/mol of atoms.

---

# 25
## RbAcS4 (GGA-PBE)

Data for a relaxed RbAcS4 crystal.

abc: 8.173 8.173 8.173
angles: 90.00 90.00 90.00
Space group F-43m (No. 216)
Asymmetric unit:
Rb 0.000 0.000 0.000 [4 per cell]
Ac 0.250 0.250 0.250 [4 per cell]
S 0.124 0.124 0.624 [16 per cell]

Computed properties:
The volume comes out at 545.9 Å³/cell. The value obtained for the uncorrected formation energy is -8.615 kcal/mol of atoms.

---

# 26
## Rb5AcS4 (GGA-PBE)

Data for a relaxed Rb5AcS4 crystal.

abc: 20.371 4.740 8.762
angles: 90.00 115.45 90.00
Space group C2/m (No. 12)
Asymmetric unit:
Rb 0.000 0.000 0.000 [2 per cell]
Rb 0.171 0.500 0.917 [4 per cell]
Rb 0.172 0.500 0.428 [4 per cell]
Ac 0.000 0.000 0.500 [2 per cell]
S 0.000 0.500 0.273 [4 per cell]
S 0.171 0.000 0.672 [4 per cell]

Computed properties:
The volume comes out at 764.0 Å³/cell. The value obtained for the uncorrected formation energy is -29.305 kcal/mol of atoms.

---

# 27
## RbAcS2 (GGA-PBE)

Data for a relaxed RbAcS2 crystal.

abc: 3.785 3.785 8.011
angles: 90.00 90.00 90.00
Space group P4/mmm (No. 123)
Asymmetric unit:
Rb 0.000 0.000 0.000 [1 per cell]
Ac 0.000 0.000 0.500 [1 per cell]
S 0.500 0.500 0.291 [2 per cell]

Computed properties:
The volume comes out at 114.8 Å³/cell. The value obtained for the uncorrected formation energy is -38.155 kcal/mol of atoms.

---

# 28
## RbAcS2 (GGA-PBE)

Data for a relaxed RbAcS2 crystal.

abc: 4.4312 4.4312 23.7807
angles: 90.00 90.00 120.00
Space group R3m (No. 160, hexagonal axes)
Asymmetric unit:
Rb 0.0000 0.0000 0.0000 [3 per cell]
Ac 0.0000 0.0000 0.8301 [3 per cell]
S 0.0000 0.0000 0.2303 [3 per cell]
S 0.0000 0.0000 0.4292 [3 per cell]

Computed properties:
The volume comes out at 404.4 Å³/cell. The value obtained for the uncorrected formation energy is -42.561 kcal/mol of atoms.